[1]
Material: Mg4NiPt
Method: DFT, meta-GGA SCAN
State: single point on PBEsol structure

Properties
SG: F-43m
Mass density, g/cm3: 5.69
Volume, Å³/f.u.: 102.5
Crystal system: cubic
Energy of formation from the pure elements, meV per atom: 238
Total DFT energy (no corrections), eV/atom: -17.473

a b c (Å): 5.253 5.253 5.253
angles (deg): 60.00 60.00 60.00
Element x y z (fractional)
Mg (0.125, 0.125, 0.125)
Mg (0.125, 0.125, 0.625)
Mg (0.125, 0.625, 0.125)
Mg (0.625, 0.125, 0.125)
Ni (0.750, 0.750, 0.750)
Pt (0.500, 0.500, 0.500)

---

[2]
Material: MgTa2W
Method: DFT, meta-GGA SCAN
State: single point on PBEsol structure

Properties
SG: Cmmm
Mass density, g/cm3: 13.45
Volume, Å³/f.u.: 70.4
Crystal system: orthorhombic
Energy of formation from the pure elements, meV per atom: 132
Total DFT energy (no corrections), eV/atom: -51.826

a b c (Å): 2.795 2.795 9.558
angles (deg): 90.00 90.00 109.49
Element x y z (fractional)
Mg (0.000, 0.000, 0.000)
Ta (0.500, 0.500, 0.265)
Ta (0.500, 0.500, 0.735)
W (0.000, 0.000, 0.500)

---

[3]
Material: CaNi4Sn2
Method: DFT, meta-GGA SCAN
State: single point on PBEsol structure

Properties
SG: I4/mcm
Mass density, g/cm3: 7.61
Volume, Å³/f.u.: 111.8
Crystal system: tetragonal
Energy of formation from the pure elements, meV per atom: -320
Total DFT energy (no corrections), eV/atom: -21.205

a b c (Å): 6.624 6.624 6.624
angles (deg): 110.15 110.15 108.13
Element x y z (fractional)
Ca (0.250, 0.250, 0.000)
Ca (0.750, 0.750, 0.000)
Ni (0.026, 0.526, 0.220)
Ni (0.195, 0.974, 0.500)
Ni (0.305, 0.805, 0.780)
Ni (0.474, 0.695, 0.500)
Ni (0.526, 0.305, 0.500)
Ni (0.695, 0.195, 0.220)
Ni (0.805, 0.026, 0.500)
Ni (0.974, 0.474, 0.780)
Sn (0.158, 0.342, 0.500)
Sn (0.342, 0.842, 0.183)
Sn (0.658, 0.158, 0.817)
Sn (0.842, 0.658, 0.500)